First-principles (GGA+U) data for a geometry-optimized CoNi4O8 structure, as listed in Alexandria via LeMat-Bulk.

Unit cell a=10.3102 b=10.3102 c=14.6404 alpha=18.70 beta=18.70 gamma=32.22
Closest atoms and distances in Å follow each position.
Element x y z (fractional)
Ni1 0.0000 0.5000 0.0000  6 O 1.88-1.90
Ni2 0.0000 0.0000 0.0000  6 O 2.05
Ni3 0.0000 0.0000 0.5000  6 O 2.08-2.10
Ni4 0.5000 0.0000 0.0000  6 O 1.88-1.90
Co1 0.5000 0.5000 0.0000  6 O 1.89-1.92
O1 0.0008 0.5392 0.7085  3 Ni 1.88-2.10, 1 Co 1.89
O2 0.9992 0.4608 0.2915  3 Ni 1.88-2.10, 1 Co 1.89
O3 0.0045 0.0045 0.2624  2 Ni 1.90, 1 Co 1.92
O4 0.9955 0.9955 0.7376  2 Ni 1.90, 1 Co 1.92
O5 0.4583 0.4583 0.7913  4 Ni 1.88-2.08
O6 0.5417 0.5417 0.2087  4 Ni 1.88-2.08
O7 0.5392 0.0008 0.7085  3 Ni 1.88-2.10, 1 Co 1.89
O8 0.4608 0.9992 0.2915  3 Ni 1.88-2.10, 1 Co 1.89

- Crystal system: monoclinic
- E: -64.3 eV per formula unit
- Volume: 138.6 Å³/f.u.
- Spin magnetization: 5.03 Bohr magnetons per cell